No. 1
Here is crystalline PmNpNiSe4 at its relaxed geometry from Alexandria via LeMat-Bulk. Energies are from GGA-PBE.

Properties
total DFT energy (no corrections) = -6.48 eV/atom

Lattice parameters (Å, degrees): 6.897 5.881 8.155 90.00 106.64 90.00
Element x y z (fractional)
Ni (0.249, 0.750, 0.319)
Se (0.571, 0.250, 0.886)
Np (0.741, 0.750, 0.440)
Ni (0.751, 0.250, 0.681)
Se (0.579, 0.250, 0.393)
Se (0.421, 0.750, 0.607)
Se (0.429, 0.750, 0.114)
Np (0.259, 0.250, 0.560)
Pm (0.262, 0.250, 0.069)
Pm (0.738, 0.750, 0.931)
Se (0.984, 0.008, 0.251)
Se (0.016, 0.992, 0.749)
Se (0.984, 0.492, 0.251)
Se (0.016, 0.508, 0.749)



No. 2
Here is crystalline Pr2NpNi16 at its relaxed geometry from Alexandria via LeMat-Bulk. Energies are from GGA-PBE.

Properties
energy of formation = -0.180 eV/atom
total DFT energy (no corrections) = -6.23 eV/atom

Lattice parameters (Å, degrees): 6.403 6.403 6.403 83.11 83.11 83.11
Element x y z (fractional)
Ni (0.844, 0.337, 0.337)
Ni (0.114, 0.114, 0.114)
Ni (0.337, 0.844, 0.337)
Ni (0.999, 0.304, 0.692)
Ni (0.304, 0.692, 0.999)
Ni (0.996, 0.996, 0.496)
Ni (0.496, 0.996, 0.996)
Ni (0.692, 0.999, 0.304)
Ni (0.999, 0.692, 0.304)
Ni (0.337, 0.337, 0.844)
Pr (0.650, 0.650, 0.650)
Np (0.924, 0.924, 0.924)
Ni (0.692, 0.304, 0.999)
Ni (0.157, 0.658, 0.658)
Ni (0.658, 0.157, 0.658)
Pr (0.344, 0.344, 0.344)
Ni (0.996, 0.496, 0.996)
Ni (0.304, 0.999, 0.692)
Ni (0.658, 0.658, 0.157)



No. 3
Here is crystalline Pr2NpNi9 at its relaxed geometry from Alexandria via LeMat-Bulk. Energies are from GGA-PBE.

Properties
energy of formation = -0.199 eV/atom
total DFT energy (no corrections) = -6.41 eV/atom

Lattice parameters (Å, degrees): 4.996 4.996 8.807 73.52 73.52 60.00
Element x y z (fractional)
Ni (0.421, 0.919, 0.238)
Ni (0.919, 0.421, 0.238)
Ni (0.421, 0.421, 0.238)
Np (0.000, 0.000, 0.000)
Pr (0.138, 0.138, 0.587)
Ni (0.333, 0.333, 0.002)
Pr (0.862, 0.862, 0.413)
Ni (0.500, 0.500, 0.500)
Ni (0.579, 0.081, 0.762)
Ni (0.579, 0.579, 0.762)
Ni (0.081, 0.579, 0.762)
Ni (0.667, 0.667, 0.998)



No. 4
Here is crystalline PrNp2Ni9 at its relaxed geometry from Alexandria via LeMat-Bulk. Energies are from GGA-PBE.

Properties
energy of formation = -0.210 eV/atom
total DFT energy (no corrections) = -7.10 eV/atom

Lattice parameters (Å, degrees): 4.946 4.946 8.641 73.37 73.37 60.00
Element x y z (fractional)
Pr (0.000, 0.000, 0.000)
Ni (0.500, 0.500, 0.500)
Np (0.855, 0.855, 0.435)
Ni (0.584, 0.083, 0.750)
Ni (0.416, 0.416, 0.250)
Ni (0.333, 0.333, 0.001)
Np (0.145, 0.145, 0.565)
Ni (0.667, 0.667, 0.999)
Ni (0.917, 0.416, 0.250)
Ni (0.416, 0.917, 0.250)
Ni (0.584, 0.584, 0.750)
Ni (0.083, 0.584, 0.750)



No. 5
Here is crystalline Pr2NpNi3Pt12 at its relaxed geometry from Alexandria via LeMat-Bulk. Energies are from GGA-PBE.

Properties
energy of formation = -0.075 eV/atom
total DFT energy (no corrections) = -6.32 eV/atom

Lattice parameters (Å, degrees): 8.174 8.174 8.174 58.60 58.60 58.60
Element x y z (fractional)
Pt (0.603, 0.131, 0.131)
Pt (0.869, 0.397, 0.869)
Pt (0.369, 0.872, 0.369)
Pt (0.869, 0.869, 0.397)
Pt (0.631, 0.128, 0.631)
Pt (0.131, 0.603, 0.131)
Pr (0.386, 0.386, 0.386)
Pt (0.128, 0.631, 0.631)
Pt (0.369, 0.369, 0.872)
Pr (0.614, 0.614, 0.614)
Ni (0.000, 0.500, 0.000)
Ni (0.500, 0.000, 0.000)
Pt (0.631, 0.631, 0.128)
Pt (0.131, 0.131, 0.603)
Np (0.000, 0.000, 0.000)
Pt (0.397, 0.869, 0.869)
Ni (0.000, 0.000, 0.500)
Pt (0.872, 0.369, 0.369)



No. 6
Here is crystalline Pr2NpNiS5 at its relaxed geometry from Alexandria via LeMat-Bulk. Energies are from GGA-PBE.

Properties
total DFT energy (no corrections) = -7.00 eV/atom

Lattice parameters (Å, degrees): 3.886 8.482 12.005 90.00 90.00 103.24
Element x y z (fractional)
Pr (0.884, 0.767, 0.196)
Ni (0.553, 0.107, 0.920)
Pr (0.115, 0.230, 0.347)
Ni (0.447, 0.893, 0.420)
S (0.314, 0.629, 0.367)
Np (0.822, 0.643, 0.526)
S (0.495, 0.990, 0.752)
S (0.686, 0.371, 0.867)
S (0.980, 0.959, 0.508)
S (0.656, 0.312, 0.521)
S (0.020, 0.041, 0.008)
S (0.505, 0.010, 0.252)
S (0.303, 0.605, 0.687)
Np (0.178, 0.357, 0.026)
S (0.697, 0.395, 0.187)
Pr (0.885, 0.770, 0.847)
S (0.344, 0.688, 0.021)
Pr (0.116, 0.233, 0.696)



No. 7
Here is crystalline PrNp4Ni3S12 at its relaxed geometry from Alexandria via LeMat-Bulk. Energies are from GGA-PBE.

Properties
total DFT energy (no corrections) = -7.10 eV/atom

Lattice parameters (Å, degrees): 8.273 8.273 8.273 109.47 109.47 109.47
Element x y z (fractional)
Pr (0.000, 0.000, 0.000)
S (0.467, 0.316, 0.151)
S (0.849, 0.165, 0.316)
S (0.849, 0.533, 0.684)
S (0.165, 0.316, 0.849)
Np (0.000, 0.500, 0.000)
S (0.684, 0.151, 0.835)
Np (0.500, 0.500, 0.500)
Ni (0.500, 0.500, 0.000)
S (0.316, 0.849, 0.165)
Ni (0.000, 0.500, 0.500)
Np (0.500, 0.000, 0.000)
S (0.533, 0.684, 0.849)
S (0.835, 0.684, 0.151)
S (0.151, 0.835, 0.684)
Ni (0.500, 0.000, 0.500)
Np (0.000, 0.000, 0.500)
S (0.684, 0.849, 0.533)
S (0.151, 0.467, 0.316)
S (0.316, 0.151, 0.467)



No. 8
Here is crystalline Pr2NpNiSe5 at its relaxed geometry from Alexandria via LeMat-Bulk. Energies are from GGA-PBE.

Properties
total DFT energy (no corrections) = -6.46 eV/atom

Lattice parameters (Å, degrees): 4.023 8.957 12.495 90.00 90.00 102.98
Element x y z (fractional)
Pr (0.110, 0.221, 0.348)
Se (0.502, 0.005, 0.249)
Pr (0.119, 0.238, 0.697)
Se (0.343, 0.685, 0.020)
Se (0.695, 0.390, 0.190)
Pr (0.890, 0.779, 0.848)
Pr (0.881, 0.762, 0.197)
Se (0.312, 0.625, 0.361)
Se (0.498, 0.995, 0.749)
Ni (0.443, 0.887, 0.421)
Se (0.688, 0.375, 0.861)
Se (0.657, 0.315, 0.520)
Np (0.177, 0.354, 0.025)
Se (0.305, 0.610, 0.690)
Se (0.981, 0.963, 0.512)
Ni (0.557, 0.113, 0.921)
Np (0.823, 0.646, 0.525)
Se (0.019, 0.037, 0.012)



No. 9
Here is crystalline NpNi8Pt3 at its relaxed geometry from Alexandria via LeMat-Bulk. Energies are from GGA-PBE.

Properties
energy of formation = -0.130 eV/atom
total DFT energy (no corrections) = -6.57 eV/atom

Lattice parameters (Å, degrees): 4.826 4.826 7.759 90.00 90.00 120.00
Element x y z (fractional)
Ni (0.333, 0.667, 0.998)
Ni (0.503, 0.006, 0.754)
Ni (0.671, 0.836, 0.246)
Ni (0.994, 0.497, 0.754)
Ni (0.164, 0.836, 0.246)
Ni (0.333, 0.667, 0.499)
Pt (0.667, 0.333, 0.431)
Pt (0.667, 0.333, 0.062)
Np (0.000, 0.000, 0.566)
Ni (0.503, 0.497, 0.754)
Ni (0.164, 0.329, 0.246)
Pt (0.000, 0.000, 0.942)



No. 10
Here is crystalline Np2Ni9Pt at its relaxed geometry from Alexandria via LeMat-Bulk. Energies are from GGA-PBE.

Properties
energy of formation = -0.050 eV/atom
total DFT energy (no corrections) = -7.05 eV/atom

Lattice parameters (Å, degrees): 4.829 4.829 8.476 73.45 73.45 60.00
Element x y z (fractional)
Ni (0.583, 0.081, 0.753)
Ni (0.417, 0.417, 0.247)
Np (0.863, 0.863, 0.410)
Ni (0.667, 0.667, 0.999)
Ni (0.583, 0.583, 0.753)
Pt (0.000, 0.000, 0.000)
Ni (0.333, 0.333, 0.001)
Ni (0.500, 0.500, 0.500)
Ni (0.417, 0.919, 0.247)
Np (0.137, 0.137, 0.590)
Ni (0.919, 0.417, 0.247)
Ni (0.081, 0.583, 0.753)



No. 11
Here is crystalline NpNiPt6 at its relaxed geometry from Alexandria via LeMat-Bulk. Energies are from GGA-PBE.

Properties
energy of formation = -0.327 eV/atom
total DFT energy (no corrections) = -7.20 eV/atom

Lattice parameters (Å, degrees): 3.992 5.715 5.715 90.00 90.00 90.00
Element x y z (fractional)
Pt (0.000, 0.743, 0.257)
Ni (0.500, 0.500, 0.500)
Pt (0.000, 0.258, 0.258)
Pt (0.000, 0.257, 0.743)
Pt (0.500, 0.000, 0.500)
Np (0.500, 0.000, 0.000)
Pt (0.500, 0.500, 0.000)
Pt (0.000, 0.742, 0.742)



No. 12
Here is crystalline NpNi2Pt4 at its relaxed geometry from Alexandria via LeMat-Bulk. Energies are from GGA-PBE.

Properties
energy of formation = 0.317 eV/atom
total DFT energy (no corrections) = -6.64 eV/atom

Lattice parameters (Å, degrees): 6.060 6.060 6.060 98.81 98.81 133.93
Element x y z (fractional)
Pt (0.500, 0.269, 0.769)
Pt (0.731, 0.500, 0.231)
Pt (0.269, 0.500, 0.769)
Ni (0.750, 0.250, 0.500)
Np (0.000, 0.000, 0.000)
Ni (0.250, 0.750, 0.500)
Pt (0.500, 0.731, 0.231)



Question: The lowest total DFT energy (no corrections) belongs to which entry?
Answer: NpNiPt6



Question: Look up the total DFT energy (no corrections) of the first one.
Answer: -6.48 eV/atom